1 | ! AcNiPd, relaxed, DFT GGA-PBE; values from VASP
! Density of states at the Fermi level: 2.896 states/eV per cell
&SYSTEM
  ibrav = 0, nat = 3, ntyp = 3
/
ATOMIC_SPECIES
Ac 227.00 Ac.upf
Ni 58.69 Ni.upf
Pd 106.42 Pd.upf
CELL_PARAMETERS angstrom
-1.8306 1.8306 4.8105
1.8306 -1.8306 4.8105
1.8306 1.8306 -4.8105
ATOMIC_POSITIONS crystal
Ac 0.0000 0.0000 0.0000
Ni 0.6939 0.6939 0.0000
Pd 0.3052 0.3052 0.0000



2 | ! AcNiPd, relaxed, DFT GGA-PBE; values from VASP
! Density of states at the Fermi level: 4.769 states/eV per cell
&SYSTEM
  ibrav = 0, nat = 12, ntyp = 3
/
ATOMIC_SPECIES
Ac 227.00 Ac.upf
Ni 58.69 Ni.upf
Pd 106.42 Pd.upf
CELL_PARAMETERS angstrom
7.2262 0.0000 0.0000
0.0000 7.2262 0.0000
0.0000 0.0000 5.6538
ATOMIC_POSITIONS crystal
Ac 0.2287 0.2287 0.0000
Ac 0.2713 0.7287 0.2500
Ac 0.7287 0.2713 0.7500
Ac 0.7713 0.7713 0.5000
Ni 0.0454 0.0454 0.5000
Ni 0.4546 0.5454 0.7500
Ni 0.5454 0.4546 0.2500
Ni 0.9546 0.9546 0.0000
Pd 0.2033 0.7967 0.7500
Pd 0.2967 0.2967 0.5000
Pd 0.7033 0.7033 0.0000
Pd 0.7967 0.2033 0.2500



3 | ! AcNiPd, relaxed, DFT GGA-PBE; values from VASP
! Density of states at the Fermi level: 3.985 states/eV per cell
&SYSTEM
  ibrav = 0, nat = 6, ntyp = 3
/
ATOMIC_SPECIES
Ac 227.00 Ac.upf
Ni 58.69 Ni.upf
Pd 106.42 Pd.upf
CELL_PARAMETERS angstrom
-2.1052 2.1052 7.7532
2.1052 -2.1052 7.7532
2.1052 2.1052 -7.7532
ATOMIC_POSITIONS crystal
Ac 0.0000 0.0000 0.0000
Ac 0.7500 0.2500 0.5000
Ni 0.4255 0.4255 0.0000
Ni 0.5745 0.5745 0.0000
Pd 0.1626 0.6626 0.5000
Pd 0.3374 0.8374 0.5000



Relative to the most stable structure, the computed energies are 1 319; 2 329; 3 0, all in meV per atom.